A plane-wave DFT calculation with PBE+U was carried out for a relaxed VAgP2O crystal.

Cell: 4.780 4.780 3.595 Å, 90.00 90.00 90.00°
Atoms (fractional coordinates):
1 V 0.000 0.000 0.000
2 Ag 0.500 0.500 0.500
3 P 0.000 0.500 0.000
4 P 0.500 0.000 0.000
5 O 0.000 0.000 0.500

Computed properties:
Total energy = -5.1388 eV/atom
Fermi-level density of states = 0.706 states/eV/atom
Spin magnetization = 0.00 μB/cell
Symmetry = P4/mmm
Energy above the most stable polymorph in this dataset = 0 meV per atom

A plane-wave DFT calculation with PBE+U was carried out for a relaxed VAgPO4 crystal.

Cell: 5.512 5.621 6.809 Å, 90.00 106.50 90.00°
Atoms (fractional coordinates):
1 V 0.234 0.250 0.023
2 V 0.766 0.750 0.977
3 Ag 0.357 0.750 0.376
4 Ag 0.643 0.250 0.624
5 P 0.230 0.750 0.840
6 P 0.770 0.250 0.160
7 O 0.057 0.528 0.811
8 O 0.057 0.972 0.811
9 O 0.419 0.750 0.064
10 O 0.420 0.750 0.707
11 O 0.580 0.250 0.293
12 O 0.581 0.250 0.936
13 O 0.943 0.028 0.189
14 O 0.943 0.472 0.189

Computed properties:
Total energy = -6.6585 eV/atom
Spin magnetization = 6.00 μB/cell
Symmetry = P2_1/m

A plane-wave DFT calculation with PBE+U was carried out for a relaxed VAgP2O crystal.

Cell: 4.735 4.735 3.945 Å, 90.00 90.00 90.00°
Atoms (fractional coordinates):
1 V 0.000 0.000 0.000
2 Ag 0.500 0.500 0.500
3 P 0.000 0.500 0.500
4 P 0.500 0.000 0.500
5 O 0.500 0.500 0.000

Computed properties:
Total energy = -3.8806 eV/atom
Fermi-level density of states = 0.849 states/eV/atom
Spin magnetization = 0.00 μB/cell
Symmetry = P4/mmm
Energy above the most stable polymorph in this dataset = 1258 meV per atom

A plane-wave DFT calculation with PBE+U was carried out for a relaxed VAg2PO6 crystal.

Cell: 7.141 7.141 6.424 Å, 92.03 92.03 52.76°
Atoms (fractional coordinates):
1 V 0.110 0.110 0.409
2 V 0.890 0.890 0.591
3 Ag 0.119 0.610 0.120
4 Ag 0.390 0.881 0.880
5 Ag 0.610 0.119 0.120
6 Ag 0.881 0.390 0.880
7 P 0.347 0.347 0.654
8 P 0.653 0.653 0.346
9 O 0.017 0.017 0.701
10 O 0.187 0.187 0.205
11 O 0.187 0.579 0.530
12 O 0.225 0.225 0.664
13 O 0.398 0.398 0.876
14 O 0.421 0.813 0.470
15 O 0.579 0.187 0.530
16 O 0.602 0.602 0.124
17 O 0.775 0.775 0.336
18 O 0.813 0.421 0.470
19 O 0.813 0.813 0.795
20 O 0.983 0.983 0.299

Computed properties:
Total energy = -6.2879 eV/atom
Fermi-level density of states = 0.000 states/eV/atom
Spin magnetization = 0.00 μB/cell
Symmetry = C2/m

A plane-wave DFT calculation with PBE+U was carried out for a relaxed VAgPO6 crystal.

Cell: 4.887 4.887 4.854 Å, 92.30 92.30 120.93°
Atoms (fractional coordinates):
1 V 0.000 0.000 0.000
2 Ag 0.678 0.322 0.500
3 P 0.339 0.661 0.000
4 O 0.044 0.678 0.804
5 O 0.080 0.371 0.204
6 O 0.285 0.341 0.797
7 O 0.322 0.956 0.196
8 O 0.629 0.920 0.796
9 O 0.659 0.715 0.203

Computed properties:
Total energy = -6.4458 eV/atom
Fermi-level density of states = 0.303 states/eV/atom
Spin magnetization = 0.00 μB/cell
Symmetry = C2